# meta-GGA SCAN ZrZnCo3, single point on PBEsol structure
data_ZrZnCo3
_space_group_name_H-M_alt 'P m -3 m'
_space_group_IT_number 221
_space_group_name_Hall '-P 4 2 3'
_cell_length_a 4.1929
_cell_length_b 4.1929
_cell_length_c 4.1929
_cell_angle_alpha 90.00
_cell_angle_beta 90.00
_cell_angle_gamma 90.00
loop_
_atom_site_label
_atom_site_fract_x
_atom_site_fract_y
_atom_site_fract_z
Zr1 0.0000 0.0000 0.0000
Zn1 0.5000 0.5000 0.5000
Co1 0.0000 0.5000 0.5000
# **Density of states at the Fermi level**: 4.2 states/eV/cell
# **Size of the total moment**: 0.659 μB per atom
# **Formation enthalpy at 0 K**: 0.73 eV/atom
# **Density**: 7.5 Mg/m³